[1]
This record from the Alexandria database describes KNi2Hg after structural relaxation. The functional is PBE.

Cell lengths 3.7829, 4.4167, 4.4167 Å; angles 90.00, 90.00, 90.00 degrees
Fractional positions:
Ni1 0.0000 0.0000 0.0000
Hg1 0.5000 0.5000 0.0000
Ni2 0.0000 0.5000 0.5000
K1 0.5000 0.0000 0.5000

Calculated values
Formation enthalpy at 0 K in meV/atom: 743

---

[2]
This record from the Alexandria database describes FeAgTe2N after structural relaxation. The functional is PBE.

Cell lengths 5.5381, 5.5381, 3.8626 Å; angles 90.00, 90.00, 90.00 degrees
Site moments in Bohr magnetons follow the coordinates.
Fractional positions:
Fe1 0.5000 0.5000 0.5000  3.33
Ag1 0.0000 0.0000 0.0000  -0.01
Te1 0.5000 0.0000 0.0000  0.05
N1 0.0000 0.0000 0.5000  0.01
Te2 0.0000 0.5000 0.0000  0.05

Calculated values
Uncorrected formation energy in meV/atom: 1444

---

Calculated M_tot, 0.0; 3.7 μB/f.u. (same order as the records).